# 1
Entry from Alexandria: LiAlI2O after structural relaxation (PBE-GGA).

Unit cell a=5.5098 b=5.5098 c=3.7020 alpha=90.00 beta=90.00 gamma=90.00
With the nearest neighbours (Å) after each atom.
Space group P4/mmm (No. 123)
Unique sites:
1 Li 0.0000 0.0000 0.0000 x1  2 O 1.85
2 Al 0.5000 0.5000 0.5000 x1  8 I 3.32, 2 Al 3.70
3 I 0.0000 0.5000 0.0000 x2  2 Li 2.75
4 O 0.0000 0.0000 0.5000 x1  2 Li 1.85

Properties
polymorph energy (0 for the lowest one): 1.058 eV/atom
raw formation energy: -0.09 eV/atom

---

# 2
Entry from Alexandria: LiAlI2O after structural relaxation (PBE-GGA).

Unit cell a=5.7717 b=5.7717 c=3.5495 alpha=90.00 beta=90.00 gamma=90.00
With the nearest neighbours (Å) after each atom.
Space group P4/mmm (No. 123)
Unique sites:
1 Li 0.0000 0.0000 0.0000 x1  8 I 3.39, 2 Li 3.55
2 Al 0.5000 0.5000 0.5000 x1  2 O 1.77
3 I 0.0000 0.5000 0.5000 x2  2 Al 2.89
4 O 0.5000 0.5000 0.0000 x1  2 Al 1.77

Properties
polymorph energy (0 for the lowest one): 0.000 eV/atom
raw formation energy: -1.14 eV/atom